No. 1
The following is a PBE calculation of a relaxed structure of Pm2Pr6Hg, from Alexandria.

Spin magnetization, μB per cell: 0.0
Theoretical density, Mg/m³: 7.1
Calculated volume, Å³/atom: 34.75
Formation energy from the elements, meV/atom: -5

Cell lengths 3.698, 10.640, 9.742 Å; angles 123.10, 100.97, 90.00 degrees
Positions (direct):
Pm 0.859 0.360 0.719
Pm 0.141 0.640 0.281
Pr 0.500 0.727 0.000
Pr 0.182 0.340 0.363
Pr 0.182 0.023 0.363
Pr 0.818 0.977 0.637
Pr 0.818 0.660 0.637
Pr 0.500 0.273 0.000
Hg 0.000 0.000 0.000

No. 2
The following is a PBE calculation of a relaxed structure of Pm4PrHg, from Alexandria.

Spin magnetization, μB per cell: 0.0
Theoretical density, Mg/m³: 7.5
Calculated volume, Å³/atom: 33.82
Formation energy from the elements, meV/atom: -26

Cell lengths 5.595, 6.691, 11.195 Å; angles 90.00, 104.47, 90.00 degrees
Positions (direct):
Pm 0.066 0.708 0.132
Pm 0.934 0.208 0.868
Pm 0.747 0.099 0.494
Pm 0.468 0.873 0.935
Pm 0.326 0.063 0.652
Pm 0.253 0.599 0.506
Pm 0.532 0.373 0.065
Pm 0.674 0.563 0.348
Pr 0.134 0.218 0.267
Pr 0.866 0.718 0.733
Hg 0.607 0.972 0.215
Hg 0.393 0.472 0.785

No. 3
The following is a PBE calculation of a relaxed structure of Pm3Pr2Hg7, from Alexandria.

Spin magnetization, μB per cell: 0.0
Theoretical density, Mg/m³: 10.1
Calculated volume, Å³/atom: 29.01
Formation energy from the elements, meV/atom: -320

Cell lengths 5.520, 5.283, 12.226 Å; angles 102.48, 90.00, 90.00 degrees
Positions (direct):
Hg 0.000 0.000 0.000
Hg 0.000 0.427 0.854
Hg 0.500 0.920 0.840
Hg 0.000 0.724 0.447
Hg 0.000 0.276 0.553
Hg 0.500 0.080 0.160
Hg 0.000 0.573 0.146
Pm 0.500 0.500 0.000
Pm 0.500 0.334 0.667
Pm 0.500 0.666 0.333
Pr 0.000 0.143 0.286
Pr 0.000 0.857 0.714

No. 4
The following is a PBE calculation of a relaxed structure of Pm3Pr3Hg2Rh, from Alexandria.

Spin magnetization, μB per cell: 0.0
Theoretical density, Mg/m³: 8.6
Calculated volume, Å³/atom: 29.31
Formation energy from the elements, meV/atom: -403

Cell lengths 3.816, 8.935, 8.935 Å; angles 120.00, 90.00, 90.00 degrees
Positions (direct):
Pr 0.000 0.000 0.403
Pr 0.000 0.597 0.597
Pr 0.000 0.403 0.000
Pm 0.500 0.759 0.000
Pm 0.500 0.000 0.759
Pm 0.500 0.241 0.241
Hg 0.500 0.667 0.333
Hg 0.500 0.333 0.667
Rh 0.000 0.000 0.000